[1]
The following is a DFT calculation (PBE-GGA) of Fe2OsRh after structural relaxation.

The space group is Cmmm (No. 65) and the conventional cell measures 2.850, 4.435 and 8.531 Å, with angles of 90.00, 90.00 and 90.00 degrees. Symmetry generates all atoms from Fe at (0.000, 0.000, 0.250), Os at (0.000, 0.500, 0.000) and Rh at (0.000, 0.500, 0.500).

The formation energy comes out at 0.21 eV per atom. The value obtained for the excess energy over the best structure of this formula in the dataset is 2.914 kcal/mol of atoms. The total magnetic moment comes out at 6.105 μB per formula unit. For the total energy, the calculation gives -8.6676 eV/atom.

[2]
The following is a DFT calculation (PBE-GGA) of CsTl2RhCl6 after structural relaxation.

The space group is P2_1/c (No. 14) and the conventional cell measures 7.203, 8.447 and 12.597 Å, with angles of 90.00, 122.59 and 90.00 degrees. Symmetry generates all atoms from Cs at (0.000, 0.000, 0.000), Tl at (0.213, 0.036, 0.730), Rh at (0.500, 0.000, 0.500), Cl at (0.209, 0.147, 0.488), Cl at (0.251, 0.714, 0.892) and Cl at (0.418, 0.110, 0.306).

The calculation puts the uncorrected formation energy at -1.054 eV per atom. The total magnetic moment comes out at 0.000 μB per formula unit. For the total energy, the calculation gives -3.4562 eV/atom.

[3]
The following is a DFT calculation (PBE-GGA) of Tc2AuCl after structural relaxation.

The space group is I-4m2 (No. 119) and the conventional cell measures 4.176, 4.176 and 7.413 Å, with angles of 90.00, 90.00 and 90.00 degrees. Symmetry generates all atoms from Tc at (0.000, 0.000, 0.000), Tc at (0.000, 0.500, 0.250), Au at (0.000, 0.500, 0.750) and Cl at (0.000, 0.000, 0.500).

The value obtained for the excess energy over the best structure of this formula in the dataset is 19.514 kcal/mol of atoms. The calculation puts the uncorrected formation energy at 0.933 eV per atom. The total magnetic moment comes out at 0.000 μB per formula unit. For the total energy, the calculation gives -5.5314 eV/atom.

[4]
The following is a DFT calculation (PBE-GGA) of TlAgSn after structural relaxation.

The space group is P1 (No. 1) and the conventional cell measures 5.835, 5.835 and 5.838 Å, with angles of 60.11, 60.24 and 75.04 degrees. Symmetry generates all atoms from Tl at (0.000, 0.000, 0.000), Tl at (0.293, 0.292, 0.206), Ag at (0.509, 0.782, 0.104), Ag at (0.512, 0.780, 0.603), Sn at (0.010, 0.625, 0.683) and Sn at (0.669, 0.282, 0.524).

The formation energy comes out at 0.06 eV per atom. The value obtained for the excess energy over the best structure of this formula in the dataset is 0.553 kcal/mol of atoms. The total magnetic moment comes out at 0.000 μB per formula unit. For the total energy, the calculation gives -3.0177 eV/atom.

[5]
The following is a DFT calculation (PBE-GGA) of HoPa2CuN5 after structural relaxation.

The space group is Cmc2_1 (No. 36) and the conventional cell measures 3.414, 13.392 and 10.579 Å, with angles of 90.00, 90.00 and 90.00 degrees. Symmetry generates all atoms from Ho at (0.000, 0.176, 0.000), Pa at (0.000, 0.121, 0.299), Pa at (0.000, 0.141, 0.689), Cu at (0.000, 0.490, 0.013), N at (0.000, 0.025, 0.108), N at (0.000, 0.297, 0.335), N at (0.000, 0.309, 0.670), N at (0.000, 0.341, 0.047) and N at (0.000, 0.488, 0.828).

The calculation puts the uncorrected formation energy at -1.058 eV per atom. The total magnetic moment comes out at 0.000 μB per formula unit. For the total energy, the calculation gives -8.7570 eV/atom.

[6]
The following is a DFT calculation (PBE-GGA) of RuCl3 after structural relaxation.

The space group is R-3m (No. 166, hexagonal axes) and the conventional cell measures 7.9318, 7.9318 and 4.8284 Å, with angles of 90.00, 90.00 and 120.00 degrees. Symmetry generates all atoms from Ru at (0.0000, 0.0000, 0.0000) and Cl at (0.0000, 0.5000, 0.0000).

The calculation puts the uncorrected formation energy at 0.771 eV per atom. The total magnetic moment comes out at 3.930 μB per formula unit. For the total energy, the calculation gives -2.9325 eV/atom.